Entry from the Alexandria database: a geometry-optimized Hf3CoF6 structure (PBE with a Hubbard U).

Lattice parameters (Å, degrees): 7.307 6.853 7.923 90.00 115.45 90.00
Space group C2/m (No. 12)
One atom of each set of equivalent atoms:
Hf 0.000 0.000 0.000
Hf 0.250 0.250 0.500
Co 0.000 0.500 0.500
F 0.100 0.205 0.212
F 0.235 0.500 0.000

Values from the calculation:
**Energy**: -6.99 eV per atom
**N(E_F)**: 9.25 states/eV per cell
**Size of the total moment**: 0.9 μB/f.u.